This record from Alexandria via LeMat-Bulk describes an optimized crystal structure of AlRuW. The functional is PBEsol.

Calculated values
The calculation puts the formation energy at -0.07 eV/atom. The calculation puts the total magnetization at 0.001 μB per cell. The calculation puts the final energy at -9.423 eV/atom.

Cell: 2.7951 2.7951 6.4739 Å, 90.00 90.00 120.00°
With the nearest neighbours (Å) after each atom.
Atoms (fractional coordinates):
W (0.6667, 0.3333, 0.3440)  3 Ru 2.64, 6 W 2.80, 3 Al 2.80
Ru (0.3333, 0.6667, 0.6658)  3 W 2.64, 3 Al 2.65, 6 Ru 2.80
Al (0.0000, 0.0000, 0.9903)  3 Ru 2.65, 6 Al 2.80, 3 W 2.80